Version i
SmYHo4 | PBE | optimized geometry

POSCAR file:
```
SmYHo4
1.0
4.381 -7.340 0.000
4.381 7.340 0.000
-2.332 0.000 6.051
Sm Y Ho
2 2 8
Direct
0.003 0.997 0.750
0.997 0.003 0.250
0.414 0.586 0.750
0.586 0.414 0.250
0.105 0.712 0.463
0.170 0.428 0.120
0.288 0.895 0.037
0.428 0.170 0.620
0.572 0.830 0.380
0.712 0.105 0.963
0.830 0.572 0.880
0.895 0.288 0.537
```

Summary:
size of the total moment	0.00	μB/f.u.
space-group type	No. 15

---

Version ii
SmYHo4 | PBE | optimized geometry

POSCAR file:
```
SmYHo4
1.0
0.000 4.643 4.643
4.643 0.000 4.643
4.643 4.643 0.000
Sm Y Ho
1 1 4
Direct
0.000 0.000 0.000
0.750 0.750 0.750
0.375 0.375 0.375
0.375 0.375 0.874
0.375 0.874 0.375
0.874 0.375 0.375
```

Summary:
size of the total moment	0.97	μB/f.u.
space-group type	No. 216

---

Q: What are the energies relative to the best structure? A: version i 0; version ii 113, in meV per atom.

---

Version i
Sm3YHo6 | PBE | optimized geometry

POSCAR file:
```
Sm3YHo6
1.0
5.747 -3.286 0.000
5.747 3.286 0.000
-3.892 0.000 8.769
Sm Y Ho
3 1 6
Direct
0.000 0.000 0.000
0.069 0.069 0.698
0.931 0.931 0.302
0.500 0.500 0.500
0.066 0.561 0.691
0.362 0.362 0.077
0.439 0.934 0.309
0.561 0.066 0.691
0.638 0.638 0.923
0.934 0.439 0.309
```

Summary:
size of the total moment	0.00	μB/f.u.
space-group type	No. 12

---

Version ii
Sm3YHo6 | PBE | optimized geometry

POSCAR file:
```
Sm3YHo6
1.0
5.432 -9.392 0.000
5.432 9.392 0.000
0.000 0.000 6.359
Sm Y Ho
6 2 12
Direct
0.112 0.888 0.500
0.209 0.436 0.106
0.436 0.209 0.606
0.564 0.791 0.106
0.791 0.564 0.606
0.888 0.112 0.000
0.309 0.691 0.446
0.691 0.309 0.946
0.026 0.446 0.705
0.123 0.214 0.525
0.214 0.123 0.025
0.229 0.771 0.920
0.446 0.026 0.205
0.464 0.536 0.714
0.536 0.464 0.214
0.554 0.974 0.705
0.771 0.229 0.420
0.786 0.877 0.525
0.877 0.786 0.025
0.974 0.554 0.205
```

Summary:
size of the total moment	0.00	μB/f.u.
space-group type	No. 36

---

Q: What are the energies relative to the best structure? A: version i 66; version ii 0, in meV per atom.

---

Version i
Sm3Y2Ho7 | PBE | optimized geometry

POSCAR file:
```
Sm3Y2Ho7
1.0
5.811 0.000 0.000
0.000 3.554 0.000
-1.038 0.000 18.745
Sm Y Ho
3 2 7
Direct
0.000 0.000 0.000
0.276 0.500 0.632
0.724 0.500 0.368
0.212 0.000 0.293
0.788 0.000 0.707
0.190 0.500 0.143
0.243 0.000 0.463
0.307 0.000 0.824
0.500 0.500 0.000
0.693 0.000 0.176
0.757 0.000 0.537
0.810 0.500 0.857
```

Summary:
size of the total moment	0.00	μB/f.u.
space-group type	No. 10

---

Version ii
Sm3Y2Ho7 | PBE | optimized geometry

POSCAR file:
```
Sm3Y2Ho7
1.0
6.337 0.000 0.000
0.000 3.516 0.000
-1.881 0.000 17.371
Sm Y Ho
3 2 7
Direct
0.000 0.000 0.000
0.049 0.500 0.658
0.951 0.500 0.342
0.443 0.000 0.326
0.557 0.000 0.674
0.229 0.500 0.165
0.246 0.000 0.501
0.275 0.000 0.834
0.500 0.500 0.000
0.725 0.000 0.166
0.754 0.000 0.499
0.771 0.500 0.835
```

Summary:
size of the total moment	0.00	μB/f.u.
space-group type	No. 10

---

Q: What are the energies relative to the best structure? A: version i 6; version ii 0, in meV per atom.

---

Version i
Sm3Y4Ho2 | PBE | optimized geometry

POSCAR file:
```
Sm3Y4Ho2
1.0
8.278 -5.811 0.000
8.278 5.811 0.000
-0.702 0.000 6.064
Sm Y Ho
6 8 4
Direct
0.097 0.903 0.750
0.232 0.434 0.919
0.434 0.232 0.419
0.566 0.768 0.581
0.768 0.566 0.081
0.903 0.097 0.250
0.078 0.348 0.351
0.314 0.591 0.485
0.348 0.078 0.851
0.409 0.686 0.015
0.591 0.314 0.985
0.652 0.922 0.149
0.686 0.409 0.515
0.922 0.652 0.649
0.021 0.743 0.180
0.257 0.979 0.320
0.743 0.021 0.680
0.979 0.257 0.820
```

Summary:
size of the total moment	0.00	μB/f.u.
space-group type	No. 15

---

Version ii
Sm3Y4Ho2 | PBE | optimized geometry

POSCAR file:
```
Sm3Y4Ho2
1.0
5.936 -1.789 0.000
5.936 1.789 0.000
-5.390 0.000 13.735
Sm Y Ho
3 4 2
Direct
0.000 0.000 0.000
0.110 0.110 0.443
0.890 0.890 0.557
0.222 0.222 0.889
0.332 0.332 0.333
0.668 0.668 0.667
0.778 0.778 0.111
0.445 0.445 0.779
0.555 0.555 0.221
```

Summary:
size of the total moment	0.00	μB/f.u.
space-group type	No. 12

---

Q: What are the energies relative to the best structure? A: version i 81; version ii 0, in meV per atom.